No. 1
A plane-wave DFT calculation with PBE-GGA was carried out for a geometry-optimized CeSm6Ho12 structure.

Summary:
Its formation energy is 0.216 eV per atom.

a = 8.6924 Å, b = 8.6924 Å, c = 8.6924 Å
α = 99.03°, β = 99.03°, γ = 99.03°
With the nearest neighbours (Å) after each atom.
Element x y z (fractional)
Ce1 0.0000 0.0000 0.0000  6 Sm 3.42
Sm1 0.0996 0.0996 0.6586  1 Sm 3.11, 1 Ce 3.42, 2 Ho 3.43
Sm2 0.0996 0.6586 0.0996  1 Sm 3.11, 1 Ce 3.42, 2 Ho 3.43
Sm3 0.3414 0.9004 0.9004  1 Sm 3.11, 1 Ce 3.42, 2 Ho 3.43
Sm4 0.6586 0.0996 0.0996  1 Sm 3.11, 1 Ce 3.42, 2 Ho 3.43
Sm5 0.9004 0.3414 0.9004  1 Sm 3.11, 1 Ce 3.42, 2 Ho 3.43
Sm6 0.9004 0.9004 0.3414  1 Sm 3.11, 1 Ce 3.42, 2 Ho 3.43
Ho1 0.0797 0.3527 0.3527  6 Ho 3.33-3.61, 2 Sm 3.71
Ho2 0.2433 0.5000 0.7567  6 Ho 3.33-3.53, 4 Sm 3.43-3.57
Ho3 0.2433 0.7567 0.5000  6 Ho 3.33-3.53, 4 Sm 3.43-3.57
Ho4 0.3527 0.0797 0.3527  6 Ho 3.33-3.61, 2 Sm 3.71
Ho5 0.3527 0.3527 0.0797  6 Ho 3.33-3.61, 2 Sm 3.71
Ho6 0.5000 0.2433 0.7567  6 Ho 3.33-3.53, 4 Sm 3.43-3.57
Ho7 0.5000 0.7567 0.2433  6 Ho 3.33-3.53, 4 Sm 3.43-3.57
Ho8 0.6473 0.6473 0.9203  6 Ho 3.33-3.61, 2 Sm 3.71
Ho9 0.6473 0.9203 0.6473  6 Ho 3.33-3.61, 2 Sm 3.71
Ho10 0.7567 0.2433 0.5000  6 Ho 3.33-3.53, 4 Sm 3.43-3.57
Ho11 0.7567 0.5000 0.2433  6 Ho 3.33-3.53, 4 Sm 3.43-3.57
Ho12 0.9203 0.6473 0.6473  6 Ho 3.33-3.61, 2 Sm 3.71


No. 2
A plane-wave DFT calculation with PBE-GGA was carried out for a geometry-optimized FeCoSiNi structure.

Summary:
The calculation puts the uncorrected formation energy at -0.2882 eV/atom.

a = 3.9833 Å, b = 3.9833 Å, c = 3.9833 Å
α = 60.00°, β = 60.00°, γ = 60.00°
With the nearest neighbours (Å) after each atom.
Element x y z (fractional)
Fe1 0.0000 0.0000 0.0000  4 Co 2.44, 4 Ni 2.44
Co1 0.2500 0.2500 0.2500  4 Fe 2.44, 4 Si 2.44
Si1 0.5000 0.5000 0.5000  4 Co 2.44, 4 Ni 2.44
Ni1 0.7500 0.7500 0.7500  4 Fe 2.44, 4 Si 2.44


No. 3
A plane-wave DFT calculation with PBE-GGA was carried out for a geometry-optimized Ac2CuHg structure.

Summary:
Its formation energy is -0.280 eV per atom.

a = 3.9118 Å, b = 3.9118 Å, c = 7.9448 Å
α = 90.00°, β = 90.00°, γ = 90.00°
With the nearest neighbours (Å) after each atom.
Element x y z (fractional)
Ac1 0.0000 0.0000 0.2316  4 Cu 3.32, 4 Hg 3.49, 1 Ac 3.68
Ac2 0.0000 0.0000 0.7684  4 Cu 3.32, 4 Hg 3.49, 1 Ac 3.68
Cu1 0.5000 0.5000 0.0000  8 Ac 3.32
Hg1 0.5000 0.5000 0.5000  8 Ac 3.49, 4 Hg 3.91


No. 4
A plane-wave DFT calculation with PBE-GGA was carried out for a geometry-optimized AcTi6S12 structure.

Summary:
The calculation puts the uncorrected formation energy at -1.0529 eV/atom.

a = 7.5350 Å, b = 7.5350 Å, c = 7.5350 Å
α = 108.76°, β = 108.76°, γ = 108.76°
With the nearest neighbours (Å) after each atom.
Element x y z (fractional)
Ac1 0.0000 0.0000 0.0000  6 S 3.09
Ti1 0.2588 0.7157 0.7157  6 S 2.37-2.56
Ti2 0.2843 0.2843 0.7412  6 S 2.37-2.56
Ti3 0.2843 0.7412 0.2843  6 S 2.37-2.56
Ti4 0.7157 0.2588 0.7157  6 S 2.37-2.56
Ti5 0.7157 0.7157 0.2588  6 S 2.37-2.56
Ti6 0.7412 0.2843 0.2843  6 S 2.37-2.56
S1 0.1153 0.5000 0.8847  4 Ti 2.55, 5 S 2.82-2.85
S2 0.1153 0.8847 0.5000  4 Ti 2.55, 5 S 2.82-2.85
S3 0.1371 0.4030 0.4030  2 Ti 2.37-2.56
S4 0.4030 0.1371 0.4030  2 Ti 2.37-2.56
S5 0.4030 0.4030 0.1371  2 Ti 2.37-2.56
S6 0.5000 0.1153 0.8847  4 Ti 2.55, 5 S 2.82-2.85
S7 0.5000 0.8847 0.1153  4 Ti 2.55, 5 S 2.82-2.85
S8 0.5970 0.5970 0.8629  2 Ti 2.37-2.56
S9 0.5970 0.8629 0.5970  2 Ti 2.37-2.56
S10 0.8629 0.5970 0.5970  2 Ti 2.37-2.56
S11 0.8847 0.1153 0.5000  4 Ti 2.55, 5 S 2.82-2.85
S12 0.8847 0.5000 0.1153  4 Ti 2.55, 5 S 2.82-2.85


No. 5
A plane-wave DFT calculation with PBE-GGA was carried out for a geometry-optimized HgTeOsW2 structure.

Summary:
The calculation puts the uncorrected formation energy at 2.9953 eV/atom.

a = 4.9628 Å, b = 4.9628 Å, c = 4.9387 Å
α = 90.00°, β = 90.00°, γ = 90.00°
With the nearest neighbours (Å) after each atom.
Element x y z (fractional)
Hg1 0.0000 0.0000 0.0000  2 Os 2.47, 4 W 2.48
Te1 0.5000 0.5000 0.5000  8 W 3.50, 4 Os 3.51
Os1 0.0000 0.0000 0.5000  2 Hg 2.47
W1 0.0000 0.5000 0.0000  2 Hg 2.48
W2 0.5000 0.0000 0.0000  2 Hg 2.48


No. 6
A plane-wave DFT calculation with PBE-GGA was carried out for a geometry-optimized MnGaRh6 structure.

Summary:
Its formation energy is -0.205 eV per atom.

a = 5.4228 Å, b = 5.4228 Å, c = 3.8147 Å
α = 90.00°, β = 90.00°, γ = 90.00°
With the nearest neighbours (Å) after each atom.
Element x y z (fractional)
Mn1 0.0000 0.0000 0.0000  12 Rh 2.69-2.71
Ga1 0.5000 0.5000 0.0000  12 Rh 2.71
Rh1 0.0000 0.5000 0.0000  8 Rh 2.70, 2 Ga 2.71, 2 Mn 2.71
Rh2 0.2481 0.2481 0.5000  8 Rh 2.69-2.73, 2 Mn 2.69, 2 Ga 2.71
Rh3 0.2481 0.7519 0.5000  8 Rh 2.69-2.73, 2 Mn 2.69, 2 Ga 2.71
Rh4 0.5000 0.0000 0.0000  8 Rh 2.70, 2 Ga 2.71, 2 Mn 2.71
Rh5 0.7519 0.2481 0.5000  8 Rh 2.69-2.73, 2 Mn 2.69, 2 Ga 2.71
Rh6 0.7519 0.7519 0.5000  8 Rh 2.69-2.73, 2 Mn 2.69, 2 Ga 2.71


No. 7
A plane-wave DFT calculation with PBE-GGA was carried out for a geometry-optimized BaNdAg2Cl8 structure.

Summary:
The calculation puts the uncorrected formation energy at -1.5190 eV/atom.

a = 8.6293 Å, b = 8.6293 Å, c = 8.6293 Å
α = 132.53°, β = 132.53°, γ = 69.40°
With the nearest neighbours (Å) after each atom.
Element x y z (fractional)
Ba1 0.0000 0.0000 0.0000  8 Cl 3.10-3.23
Nd1 0.2500 0.7500 0.5000  8 Cl 2.84-2.93
Ag1 0.5000 0.5000 0.0000  4 Cl 2.58
Ag2 0.7500 0.2500 0.5000  4 Cl 2.54
Cl1 0.2686 0.7074 0.1467  1 Ag 2.58
Cl2 0.2926 0.4394 0.5612  1 Ag 2.58
Cl3 0.3955 0.0031 0.0338  1 Ag 2.54, 1 Nd 2.84
Cl4 0.5606 0.1219 0.8533  1 Ag 2.58
Cl5 0.6383 0.6045 0.6076  1 Ag 2.54, 1 Nd 2.84
Cl6 0.8781 0.7314 0.4388  1 Ag 2.58
Cl7 0.9693 0.3617 0.9662  1 Ag 2.54, 1 Nd 2.84
Cl8 0.9969 0.0307 0.3924  1 Ag 2.54, 1 Nd 2.84


No. 8
A plane-wave DFT calculation with PBE-GGA was carried out for a geometry-optimized Sc2TcSeF structure.

Summary:
The calculation puts the uncorrected formation energy at -0.5041 eV/atom.

a = 5.0666 Å, b = 5.0666 Å, c = 4.6270 Å
α = 90.00°, β = 90.00°, γ = 90.00°
With the nearest neighbours (Å) after each atom.
Element x y z (fractional)
Sc1 0.0000 0.5000 0.0000  2 Tc 2.53
Sc2 0.5000 0.0000 0.0000  2 Tc 2.53
Tc1 0.0000 0.0000 0.0000  2 Se 2.31, 4 Sc 2.53
Se1 0.0000 0.0000 0.5000  2 Tc 2.31
F1 0.5000 0.5000 0.5000  8 Sc 3.43, 4 Se 3.58


No. 9
A plane-wave DFT calculation with PBE-GGA was carried out for a geometry-optimized Sc6Ga5Pb structure.

Summary:
Its formation energy is -0.412 eV per atom.

a = 5.9717 Å, b = 5.9717 Å, c = 8.8730 Å
α = 97.16°, β = 97.16°, γ = 122.73°
With the nearest neighbours (Å) after each atom.
Element x y z (fractional)
Sc1 0.0599 0.4139 0.7289  5 Ga 2.82-3.05, 1 Pb 3.10
Sc2 0.2191 0.2191 0.2431  5 Ga 2.83-2.90, 1 Pb 3.01
Sc3 0.4139 0.0599 0.7289  5 Ga 2.82-3.05, 1 Pb 3.10
Sc4 0.5861 0.9401 0.2711  5 Ga 2.82-3.05, 1 Pb 3.10
Sc5 0.7809 0.7809 0.7569  5 Ga 2.83-2.90, 1 Pb 3.01
Sc6 0.9401 0.5861 0.2711  5 Ga 2.82-3.05, 1 Pb 3.10
Ga1 0.0000 0.0000 0.5000  6 Sc 2.82-2.87
Ga2 0.1803 0.8197 0.0000  6 Sc 2.90-3.05, 2 Ga 3.21
Ga3 0.3606 0.6394 0.5000  6 Sc 2.83-2.87, 1 Ga 2.92
Ga4 0.6394 0.3606 0.5000  6 Sc 2.83-2.87, 1 Ga 2.92
Ga5 0.8197 0.1803 0.0000  6 Sc 2.90-3.05, 2 Ga 3.21
Pb1 0.5000 0.5000 0.0000  6 Sc 3.01-3.10, 2 Ga 3.35


No. 10
A plane-wave DFT calculation with PBE-GGA was carried out for a geometry-optimized SmLuAu structure.

Summary:
Its formation energy is -0.536 eV per atom.

a = 6.7096 Å, b = 6.7096 Å, c = 6.7096 Å
α = 149.06°, β = 149.06°, γ = 44.32°
With the nearest neighbours (Å) after each atom.
Element x y z (fractional)
Sm1 0.0000 0.0000 0.0000  4 Au 3.25, 4 Sm 3.58, 1 Lu 3.60
Lu1 0.2893 0.2893 0.0000  4 Au 2.97
Au1 0.6636 0.6636 0.0000  4 Lu 2.97, 4 Sm 3.25


No. 11
A plane-wave DFT calculation with PBE-GGA was carried out for a geometry-optimized PuCoC2 structure.

Summary:
Its formation energy is -0.117 eV per atom.

a = 3.6265 Å, b = 3.7454 Å, c = 3.7454 Å
α = 74.35°, β = 90.00°, γ = 90.00°
With the nearest neighbours (Å) after each atom.
Element x y z (fractional)
Pu1 0.0000 0.0000 0.0000  8 C 2.66, 6 Co 2.94-2.98
Co1 0.5000 0.6122 0.6122  4 C 1.94-1.97
C1 0.5000 0.1499 0.4586  1 C 1.40
C2 0.5000 0.4586 0.1499  1 C 1.40


No. 12
A plane-wave DFT calculation with PBE-GGA was carried out for a geometry-optimized AcTbPr2Se5 structure.

Summary:
The calculation puts the uncorrected formation energy at -1.3727 eV/atom.

a = 5.1959 Å, b = 5.1959 Å, c = 11.4122 Å
α = 90.00°, β = 90.00°, γ = 90.00°
With the nearest neighbours (Å) after each atom.
Element x y z (fractional)
Ac1 0.0000 0.0000 0.0000  2 Se 2.92
Tb1 0.0000 0.0000 0.5000  6 Se 2.60-2.78
Pr1 0.5000 0.5000 0.3424  4 Se 3.16
Pr2 0.5000 0.5000 0.6576  4 Se 3.16
Se1 0.0000 0.0000 0.2561  1 Tb 2.78, 1 Ac 2.92
Se2 0.0000 0.0000 0.7439  1 Tb 2.78, 1 Ac 2.92
Se3 0.0000 0.5000 0.5000  2 Tb 2.60
Se4 0.5000 0.0000 0.5000  2 Tb 2.60
Se5 0.5000 0.5000 0.0000  4 Ac 3.67, 2 Pr 3.91